# LaTcPtI2 PBE-GGA relaxed
# calculated volume: 27.90 Å³/atom
# formation energy from raw total energies: 0.07 eV/atom
data_LaTcPtI2
_chemical_formula_sum 'La1 Tc1 Pt1 I2'
_space_group_name_H-M_alt 'P 4/m m m'
_space_group_IT_number 123
_space_group_name_Hall '-P 4 2'
_cell_length_a 5.3500
_cell_length_b 5.3500
_cell_length_c 4.8744
_cell_angle_alpha 90.00
_cell_angle_beta 90.00
_cell_angle_gamma 90.00
loop_
_atom_site_label
_atom_site_type_symbol
_atom_site_fract_x
_atom_site_fract_y
_atom_site_fract_z
La1 La 0.0000 0.0000 0.0000
Tc1 Tc 0.5000 0.5000 0.5000
Pt1 Pt 0.5000 0.5000 0.0000
I1 I 0.0000 0.5000 0.5000